# 1
Below is a relaxed Tb6Y2TmSc3 crystal, with properties calculated at the PBE level.

Output
The calculation puts the formation energy at 0.04 eV/atom. The value obtained for the calculated total energy is -127.277 eV for the cell shown.

```
data_Tb6Y2TmSc3
_chemical_formula_sum 'Tb12 Y4 Tm2 Sc6'
_space_group_name_H-M_alt 'C 1 2/m 1'
_space_group_IT_number 12
_cell_length_a 6.056
_cell_length_b 10.482
_cell_length_c 11.449
_cell_angle_alpha 90.00
_cell_angle_beta 100.13
_cell_angle_gamma 90.00
loop_
_space_group_symop_operation_xyz
'x,y,z'
'-x,-y,-z'
'-x,y,-z'
'x,-y,z'
'x+1/2,y+1/2,z'
'-x+1/2,-y+1/2,-z'
'-x+1/2,y+1/2,-z'
'x+1/2,-y+1/2,z'
loop_
_atom_site_label
_atom_site_fract_x
_atom_site_fract_y
_atom_site_fract_z
Tb1 0.246 0.000 0.241
Tb2 0.247 0.334 0.241
Y1 0.000 0.333 0.500
Tm1 0.000 0.000 0.500
Sc1 0.000 0.167 0.000
Sc2 0.000 0.500 0.000
```


# 2
Below is a relaxed Tb6Pm3Dy2Er crystal, with properties calculated at the PBE level.

Output
The calculation puts the formation energy at 0.02 eV/atom. The value obtained for the calculated total energy is -111.233 eV for the cell shown.

```
data_Tb6Pm3Dy2Er
_chemical_formula_sum 'Tb12 Pm6 Dy4 Er2'
_space_group_name_H-M_alt 'C 1 2/m 1'
_space_group_IT_number 12
_cell_length_a 6.196
_cell_length_b 10.725
_cell_length_c 11.844
_cell_angle_alpha 90.00
_cell_angle_beta 100.00
_cell_angle_gamma 90.00
loop_
_space_group_symop_operation_xyz
'x,y,z'
'-x,-y,-z'
'-x,y,-z'
'x,-y,z'
'x+1/2,y+1/2,z'
'-x+1/2,-y+1/2,-z'
'-x+1/2,y+1/2,-z'
'x+1/2,-y+1/2,z'
loop_
_atom_site_label
_atom_site_fract_x
_atom_site_fract_y
_atom_site_fract_z
Tb1 0.249 0.167 0.247
Tb2 0.250 0.000 0.753
Pm1 0.000 0.167 0.500
Pm2 0.000 0.500 0.500
Dy1 0.000 0.333 0.000
Er1 0.000 0.000 0.000
```


# 3
Below is a relaxed ZnMoSe2 crystal, with properties calculated at the PBE level.

Output
The value obtained for the calculated total energy is -59.365 eV for the cell shown. The calculation puts the raw formation energy at -17.2 kJ per mole of atoms.

```
data_ZnMoSe2
_chemical_formula_sum 'Zn3 Mo3 Se6'
_space_group_name_H-M_alt 'R -3 m'
_space_group_IT_number 166
_space_group_name_Hall '-R 3 2"'
_cell_length_a 3.2383
_cell_length_b 3.2383
_cell_length_c 27.8994
_cell_angle_alpha 90.00
_cell_angle_beta 90.00
_cell_angle_gamma 120.00
loop_
_atom_site_label
_atom_site_fract_x
_atom_site_fract_y
_atom_site_fract_z
Zn1 0.0000 0.0000 0.0000
Mo1 0.0000 0.0000 0.5000
Se1 0.0000 0.0000 0.1041
```